Density functional theory data (GGA-PBE) for a relaxed structure of LaCdOs2.

Structure (CIF):
```
data_LaCdOs2
_cell_length_a 4.8276
_cell_length_b 4.8276
_cell_length_c 4.8276
_cell_angle_alpha 60.00
_cell_angle_beta 60.00
_cell_angle_gamma 60.00
_space_group_name_H-M_alt 'P 1'
_space_group_IT_number 1
loop_
_space_group_symop_operation_xyz
'x,y,z'
loop_
_atom_site_label
_atom_site_type_symbol
_atom_site_fract_x
_atom_site_fract_y
_atom_site_fract_z
_atom_site_occupancy
La1 La 0.0000 0.0000 0.0000 1
Cd1 Cd 0.7500 0.7500 0.7500 1
Os1 Os 0.2500 0.2500 0.2500 1
Os2 Os 0.5000 0.5000 0.5000 1
```

Properties
formation energy from the elements	0.722	eV per atom
calculated density	13.2	g cm⁻³
SG	F-43m